Record 1
DFT (PBE-GGA) results for crystalline TiCdPd3 at its relaxed geometry.

```
5
Lattice="4.6769 0.0000 0.0000 0.0000 4.6769 0.0000 0.0000 0.0000 4.6769" Properties=species:S:1:pos:R:3 pbc="T T T"
Ti 0.0000 0.0000 0.0000
Cd 2.3385 2.3385 2.3385
Pd 0.0000 0.0000 2.3385
Pd 0.0000 2.3385 0.0000
Pd 2.3385 0.0000 0.0000
```

Summary:
Space group: Pm-3m
Energy of formation in kJ/mol of formula units: 157
Total magnetic moment in μB/atom: 0.0000
E above lowest polymorph in eV per formula unit: 3.86



Record 2
DFT (PBE-GGA) results for crystalline K3TlRe at its relaxed geometry.

```
5
Lattice="6.5991 0.0000 0.0000 0.0000 6.5991 0.0000 0.0000 0.0000 6.5991" Properties=species:S:1:pos:R:3 pbc="T T T"
K 0.0000 0.0000 3.2996
K 0.0000 3.2996 0.0000
K 3.2996 0.0000 0.0000
Tl 0.0000 0.0000 0.0000
Re 3.2996 3.2996 3.2996
```

Summary:
Space group: Pm-3m
Energy of formation in kJ/mol of formula units: 714
Total magnetic moment in μB/atom: 0.8809



Record 3
DFT (PBE-GGA) results for crystalline Nd8Ni3PBr4 at its relaxed geometry.

```
16
Lattice="4.1149 2.3758 7.5724 -4.1149 2.3758 7.5724 0.0000 -4.7515 7.5724" Properties=species:S:1:pos:R:3 pbc="T T T"
Nd -2.0962 -1.2102 12.8875
Nd 0.0000 0.0000 5.2382
Nd 0.0000 -2.4205 9.8297
Nd -2.0962 1.2102 9.8297
Nd 2.0962 -1.2102 12.8874
Nd 0.0000 2.4205 12.8874
Nd 0.0000 0.0000 17.4789
Nd 2.0962 1.2102 9.8297
Ni -4.1149 0.0000 11.3586
Ni -2.0575 1.1879 3.7862
Ni 2.0575 1.1879 3.7862
P 0.0000 0.0000 11.3586
Br 0.0000 0.0000 0.0000
Br -2.0575 -1.1879 7.5724
Br -2.0575 1.1879 15.1447
Br 0.0000 2.3758 7.5724
```

Summary:
Space group: R-3m
Uncorrected formation energy in meV/atom: -939
Total magnetic moment in μB/atom: 0.0000



Record 4
DFT (PBE-GGA) results for crystalline PuTaSe6 at its relaxed geometry.

```
8
Lattice="0.0000 5.2281 5.2281 5.2281 0.0000 5.2281 5.2281 5.2281 0.0000" Properties=species:S:1:pos:R:3 pbc="T T T"
Pu 0.0000 0.0000 0.0000
Ta 5.2281 5.2281 5.2281
Se 5.2281 5.2281 2.6933
Se 5.2281 2.6933 5.2281
Se 7.7628 5.2281 5.2281
Se 2.6933 5.2281 5.2281
Se 5.2281 7.7628 5.2281
Se 5.2281 5.2281 7.7628
```

Summary:
Space group: Fm-3m
Uncorrected formation energy in meV/atom: -413
Total magnetic moment in μB/atom: 0.2612